# 1
A geometry-optimized Cs4AlGe4 structure, computed with PBE-GGA.

a = 7.592 Å, b = 9.615 Å, c = 7.592 Å
α = 66.75°, β = 90.00°, γ = 113.25°
Fractional positions:
Cs 0.184 0.730 0.454
Cs 0.546 0.730 0.816
Cs 0.454 0.270 0.546
Cs 0.816 0.270 0.184
Ge 0.746 0.722 0.254
Ge 0.977 0.722 0.023
Ge 0.254 0.278 0.977
Ge 0.023 0.278 0.746
Al 0.000 0.000 0.000

Computed properties:
Symmetry   No. 121
Formation energy   0.108 eV/atom
Final energy   -24.65 eV for the cell shown

***

# 2
A geometry-optimized Cs2AlGe structure, computed with PBE-GGA.

a = 13.367 Å, b = 13.367 Å, c = 13.367 Å
α = 158.43°, β = 158.43°, γ = 30.69°
Fractional positions:
Cs 0.875 0.874 0.499
Cs 0.375 0.376 0.501
Cs 0.126 0.625 0.001
Cs 0.624 0.125 0.999
Al 0.500 0.500 0.000
Al 0.250 0.750 0.500
Ge 0.750 0.250 0.500
Ge 0.000 0.000 0.000

Computed properties:
Symmetry   No. 122
Formation energy   0.729 eV/atom
Final energy   -14.30 eV for the cell shown

***

# 3
A geometry-optimized Cs2Al2Ge2H structure, computed with PBE-GGA.

a = 4.364 Å, b = 7.962 Å, c = 8.790 Å
α = 44.80°, β = 86.54°, γ = 72.53°
Fractional positions:
Al 0.138 0.654 0.289
Al 0.862 0.346 0.711
Ge 0.237 0.581 0.622
Ge 0.763 0.419 0.378
H 0.000 0.000 0.000
Cs 0.442 0.137 0.208
Cs 0.558 0.863 0.792

Computed properties:
Symmetry   No. 2
Final energy   -22.43 eV for the cell shown

***

# 4
A geometry-optimized Cs2MgAlGe2 structure, computed with PBE-GGA.

a = 6.521 Å, b = 6.473 Å, c = 10.717 Å
α = 107.58°, β = 107.71°, γ = 90.00°
Fractional positions:
Mg 0.000 0.250 0.000
Mg 0.000 0.750 0.000
Al 0.500 0.750 0.000
Al 0.500 0.250 0.000
Cs 0.593 0.837 0.675
Cs 0.082 0.337 0.675
Cs 0.918 0.663 0.325
Cs 0.407 0.163 0.325
Ge 0.196 0.925 0.850
Ge 0.654 0.425 0.850
Ge 0.804 0.075 0.150
Ge 0.346 0.575 0.150

Computed properties:
Symmetry   No. 72
Formation energy   -0.172 eV/atom
Final energy   -34.62 eV for the cell shown

***

# 5
A geometry-optimized Cs2AlGeO4 structure, computed with PBE-GGA.

a = 5.210 Å, b = 7.047 Å, c = 11.545 Å
α = 85.22°, β = 76.96°, γ = 68.31°
Fractional positions:
Ge 0.250 0.500 0.500
Ge 0.500 0.000 0.000
O 0.268 0.852 0.081
O 0.870 0.648 0.581
O 0.482 0.648 0.419
O 0.651 0.148 0.081
O 0.550 0.352 0.581
O 0.880 0.852 0.919
O 0.099 0.352 0.419
O 0.200 0.148 0.919
Cs 0.827 0.000 0.345
Cs 0.173 0.000 0.655
Cs 0.577 0.500 0.845
Cs 0.923 0.500 0.155
Al 0.000 0.000 0.000
Al 0.750 0.500 0.500

Computed properties:
Symmetry   No. 70
E_form (uncorrected)   -1825 meV/atom
Final energy   -89.00 eV for the cell shown

***

# 6
A geometry-optimized Cs3AlGe2O7 structure, computed with PBE-GGA.

a = 10.088 Å, b = 10.088 Å, c = 7.775 Å
α = 73.03°, β = 73.03°, γ = 121.89°
Fractional positions:
O 0.004 0.278 0.436
O 0.355 0.645 0.250
O 0.478 0.717 0.526
O 0.717 0.478 0.026
O 0.278 0.004 0.936
O 0.339 0.341 0.772
O 0.283 0.522 0.974
O 0.661 0.659 0.228
O 0.341 0.339 0.272
O 0.659 0.661 0.728
O 0.996 0.722 0.564
O 0.522 0.283 0.474
O 0.645 0.355 0.750
O 0.722 0.996 0.064
Ge 0.761 0.562 0.761
Ge 0.438 0.239 0.739
Ge 0.239 0.438 0.239
Ge 0.562 0.761 0.261
Cs 0.988 0.012 0.250
Cs 0.012 0.988 0.750
Cs 0.983 0.593 0.231
Cs 0.017 0.407 0.769
Cs 0.407 0.017 0.269
Cs 0.593 0.983 0.731
Al 0.557 0.443 0.250
Al 0.443 0.557 0.750

Computed properties:
Symmetry   No. 15
E_form (uncorrected)   -2042 meV/atom
Final energy   -153.59 eV for the cell shown

***

The V results, record by record, are as follows: 459.7, 322.7, 199.9, 408.7, 383.7, 536.9 Å³ per cell.